1.
PBE Na2Sc2Si2PdPt, optimized geometry; space-group type = No. 115; final energy = -41.288 eV per cell
1.0
-1.7145 0.2434 4.1833
-2.6932 -3.5268 -0.8986
4.5405 -4.0007 2.0936
Na Pd Pt Sc Si
2 1 1 2 2
Direct
0.5000 0.5000 0.0000
0.0000 0.0000 0.5000
0.0000 0.0000 0.0000
0.5000 0.5000 0.5000
0.5000 0.0000 0.2490
0.0000 0.5000 0.7510
0.0000 0.5000 0.2505
0.5000 0.0000 0.7495


2.
PBE Na2Si2PdPt, optimized geometry; space-group type = No. 187; final energy = -26.106 eV per cell
1.0
-3.2485 -2.1461 2.1768
0.5937 -0.6920 -4.3664
3.5216 -4.1740 1.1403
Na Pd Pt Si
2 1 1 2
Direct
0.6667 0.3333 0.2497
0.6667 0.3333 0.7503
0.0000 0.0000 0.0000
0.3333 0.6667 0.5000
0.3333 0.6667 0.0000
0.0000 0.0000 0.5000


3.
PBE Na2Y2Sn2PdPt, optimized geometry; space-group type = No. 115; final energy = -39.863 eV per cell
1.0
4.8820 0.0000 0.0000
0.0000 4.8820 0.0000
0.0000 0.0000 6.9083
Na Pd Pt Sn Y
2 1 1 2 2
Direct
0.0000 0.0000 0.0000
0.5000 0.5000 0.5000
0.5000 0.5000 0.0000
0.0000 0.0000 0.5000
0.5000 0.0000 0.2489
0.0000 0.5000 0.7511
0.0000 0.5000 0.2512
0.5000 0.0000 0.7488


Calculated V in order - 16.41; 16.02; 20.58 Å³/atom